Record 1
Below is a relaxed TiIr2Ru crystal, with properties calculated at the PBE level.

## Properties
- space group = P2/m
- ΔE_f (eV/atom) = -0.072

```
TiIr2Ru
1.0
-3.924 2.605 -2.573
-1.387 0.168 2.285
5.805 1.077 3.445
Ti Ir Ru
1 2 1
direct
0.000 0.000 0.000
0.761 0.000 0.500
0.239 0.000 0.500
0.500 0.500 0.000
```

Record 2
Below is a relaxed ReSe2N2 crystal, with properties calculated at the PBE level.

## Properties
- energy relative to the elements, uncorrected (meV/atom) = 575
- space group = P4/mmm

```
ReSe2N2
1.0
3.825 0.000 0.000
0.000 3.825 0.000
0.000 0.000 5.705
Re Se N
1 2 2
direct
0.000 0.000 0.000
0.500 0.500 0.500
0.000 0.000 0.500
0.000 0.500 0.000
0.500 0.000 0.000
```

The records above yield DOS at the Fermi energy values of 3.62 3.50 states/eV/f.u., respectively.
The records above yield VASP energy values of -8.80 -6.64 eV per atom, respectively.